(1)
VASP calculation (GGA-PBE) on an optimized crystal structure of Ti3MnAu.

It has space group Pm-3m (No. 221), with a = 4.820 Å, b = 4.820 Å, c = 4.820 Å, α = 90.00°, β = 90.00° and γ = 90.00°. The distinct sites, in fractional coordinates, are Ti at (0.000, 0.000, 0.500), Mn at (0.500, 0.500, 0.500) and Au at (0.000, 0.000, 0.000).

As for the formation energy from the elements: 1.364 eV per atom. The calculation puts the density of states at the Fermi level at 9.56 states/eV/f.u. For the energy above the most stable polymorph in this dataset, the calculation gives 1123 meV per atom. As for the crystal system: cubic.


(2)
VASP calculation (GGA-PBE) on an optimized crystal structure of Ti4MnAu.

It has space group R-3m (No. 166, hexagonal axes), with a = 4.4303 Å, b = 4.4303 Å, c = 19.2821 Å, α = 90.00°, β = 90.00° and γ = 120.00°. The distinct sites, in fractional coordinates, are Ti at (0.0000, 0.0000, 0.1128), Ti at (0.0000, 0.0000, 0.3603), Mn at (0.0000, 0.0000, 0.0000) and Au at (0.0000, 0.0000, 0.5000).

As for the formation energy from the elements: 0.068 eV per atom. The calculation puts the density of states at the Fermi level at 7.86 states/eV/f.u. As for the crystal system: trigonal.


(3)
VASP calculation (GGA-PBE) on an optimized crystal structure of TiMn2Au.

It has space group I-42d (No. 122), with a = 3.741 Å, b = 3.741 Å, c = 17.691 Å, α = 90.00°, β = 90.00° and γ = 90.00°. The distinct sites, in fractional coordinates, are Ti at (0.000, 0.000, 0.000), Mn at (0.161, 0.250, 0.125) and Au at (0.000, 0.000, 0.500).

As for the formation energy from the elements: 0.480 eV per atom. The calculation puts the density of states at the Fermi level at 5.18 states/eV/f.u. For the energy above the most stable polymorph in this dataset, the calculation gives 604 meV per atom. As for the crystal system: tetragonal.


(4)
VASP calculation (GGA-PBE) on an optimized crystal structure of Ti3MnAu.

It has space group Pm-3m (No. 221), with a = 4.469 Å, b = 4.469 Å, c = 4.469 Å, α = 90.00°, β = 90.00° and γ = 90.00°. The distinct sites, in fractional coordinates, are Ti at (0.000, 0.000, 0.500), Mn at (0.000, 0.000, 0.000) and Au at (0.500, 0.500, 0.500).

As for the formation energy from the elements: 0.241 eV per atom. The calculation puts the density of states at the Fermi level at 8.61 states/eV/f.u. For the energy above the most stable polymorph in this dataset, the calculation gives 0 meV per atom. As for the crystal system: cubic.